A plane-wave DFT calculation with PBE-GGA was carried out for a geometry-optimized Na10B17C3 structure.

Values from the calculation:
E above lowest polymorph: 0.046 eV per atom
Density: 2.3 g cm⁻³
Raw total energy: -4.89 eV per atom
Total moment: 0.00 μB/f.u.
Density of states at the Fermi level: 12.61 states/eV/cell

Unit cell a=2.9606 b=2.9606 c=43.0784 alpha=90.00 beta=90.00 gamma=120.00
Space group P-6m2 (No. 187)
One atom of each set of equivalent atoms:
Na: 0.0000 0.0000 0.0491 x2
Na: 0.0000 0.0000 0.1499 x2
Na: 0.0000 0.0000 0.2480 x2
Na: 0.0000 0.0000 0.3486 x2
Na: 0.0000 0.0000 0.4497 x2
B: 0.3333 0.6667 0.0000 x1
B: 0.3333 0.6667 0.0995 x2
B: 0.3333 0.6667 0.1991 x2
B: 0.3333 0.6667 0.2983 x2
B: 0.3333 0.6667 0.3992 x2
B: 0.3333 0.6667 0.5000 x1
B: 0.6667 0.3333 0.0995 x2
B: 0.6667 0.3333 0.2983 x2
B: 0.6667 0.3333 0.3992 x2
B: 0.6667 0.3333 0.5000 x1
C: 0.6667 0.3333 0.0000 x1
C: 0.6667 0.3333 0.1991 x2

---

A plane-wave DFT calculation with PBE-GGA was carried out for a geometry-optimized Sr3Ac3CuO8 structure.

Values from the calculation:
E_form (uncorrected): -2.509 eV per atom
Density: 6.8 g cm⁻³
Raw total energy: -6.58 eV per atom
Total moment: 0.00 μB/f.u.

Unit cell a=12.515 b=7.467 c=7.399 alpha=90.00 beta=126.20 gamma=90.00
Space group C2/m (No. 12)
One atom of each set of equivalent atoms:
Sr: 0.000 0.000 0.000 x2
Sr: 0.250 0.250 0.500 x4
Ac: 0.000 0.500 0.500 x2
Ac: 0.250 0.250 0.000 x4
Cu: 0.000 0.000 0.500 x2
O: 0.005 0.265 0.754 x8
O: 0.208 0.000 0.719 x4
O: 0.248 0.000 0.246 x4

---

Question: Number 2 is which compound?
Answer: Sr3Ac3CuO8

---

Question: Which of these has the lowest density?
Answer: Na10B17C3

---

Question: What is the raw total energy in the second record?
Answer: -6.58 eV per atom